Entry 1:
PPtSe2Br | Alexandria | GGA-PBE | optimized geometry; Fermi-level density of states = 1.0356 states/eV/atom; energy above the lowest structure with this stoichiometry = 0.000 eV/atom; ΔE_f (raw) = 3.862 eV/f.u.; total energy = -3.25 eV/atom
1.0
-1.426 -0.847 -4.652
0.454 -4.861 0.746
-4.808 -0.217 1.513
P Se Br Pt
1 2 1 1
Direct
0.500 0.500 0.500 P
0.000 0.500 0.000 Se
0.500 0.000 0.000 Se
0.000 0.000 0.500 Br
0.000 0.000 0.000 Pt

Entry 2:
ScTi5Rh6 | Alexandria | GGA-PBE | optimized geometry; Fermi-level density of states = 1.1193 states/eV/atom; total energy = -8.27 eV/atom
1.0
4.239 0.002 -0.882
-0.003 6.553 -0.001
-0.787 0.000 6.781
Rh Ti Sc
6 5 1
Direct
0.500 0.257 0.000 Rh
0.170 0.739 0.339 Rh
0.500 0.743 0.000 Rh
0.830 0.261 0.661 Rh
0.170 0.261 0.339 Rh
0.830 0.739 0.661 Rh
0.334 0.500 0.669 Ti
0.000 0.500 0.000 Ti
0.671 0.000 0.343 Ti
0.329 0.000 0.657 Ti
0.666 0.500 0.331 Ti
0.000 0.000 0.000 Sc

Entry 3:
SmSc3Bi4 | Alexandria | GGA-PBE | optimized geometry; Fermi-level density of states = 0.1982 states/eV/atom; total energy = -5.62 eV/atom
1.0
-2.449 -0.537 3.550
-1.185 -7.184 -1.904
5.358 -4.320 3.044
Sc Bi Sm
3 4 1
Direct
0.500 0.000 0.500 Sc
0.000 0.000 0.000 Sc
0.000 0.500 0.500 Sc
0.500 0.243 0.743 Bi
0.000 0.236 0.264 Bi
0.000 0.764 0.736 Bi
0.500 0.757 0.257 Bi
0.500 0.500 0.000 Sm

Entry 4:
Al2NiIr | Alexandria | GGA-PBE | optimized geometry; Fermi-level density of states = 0.7065 states/eV/atom; total energy = -5.61 eV/atom
1.0
3.838 0.000 0.000
0.000 3.838 0.000
1.919 1.919 8.249
Ni Al Ir
2 4 2
Direct
0.250 0.750 0.500 Ni
0.500 0.500 0.000 Ni
0.132 0.625 0.250 Al
0.375 0.382 0.750 Al
0.618 0.125 0.250 Al
0.875 0.868 0.750 Al
0.000 0.000 0.000 Ir
0.750 0.250 0.500 Ir

Entry 5:
HfNb2TlO8 | Alexandria | GGA-PBE | optimized geometry; Fermi-level density of states = 0.2921 states/eV/atom; ΔE_f (raw) = -28.295 eV/f.u.; total energy = -8.37 eV/atom
1.0
-4.507 3.816 1.168
-0.233 -3.534 -4.868
-3.082 -4.739 3.588
O Hf Nb Tl
8 1 2 1
Direct
0.158 0.842 0.810 O
0.315 0.158 0.190 O
0.667 0.333 0.541 O
0.842 0.158 0.190 O
0.158 0.315 0.810 O
0.333 0.667 0.459 O
0.685 0.842 0.810 O
0.842 0.685 0.190 O
0.000 0.000 0.000 Hf
0.667 0.333 0.275 Nb
0.333 0.667 0.725 Nb
0.000 0.000 0.500 Tl

Entry 6:
Ce2YH | Alexandria | GGA-PBE | optimized geometry; Fermi-level density of states = 2.3025 states/eV/atom; energy above the lowest structure with this stoichiometry = 0.000 eV/atom; total energy = -5.49 eV/atom
1.0
-1.271 2.195 2.368
-3.281 -0.325 1.083
1.180 -4.857 7.681
H Y Ce
1 1 2
Direct
0.000 0.000 0.000 H
0.500 0.500 0.500 Y
0.723 0.723 0.832 Ce
0.277 0.277 0.168 Ce

Entry 7:
La2CdFe | Alexandria | GGA-PBE | optimized geometry; Fermi-level density of states = 0.9968 states/eV/atom; total energy = -4.65 eV/atom
1.0
5.146 0.000 0.000
2.573 4.456 0.000
2.573 1.485 4.202
Fe La Cd
1 2 1
Direct
0.750 0.750 0.750 Fe
0.250 0.250 0.250 La
0.000 0.000 0.000 La
0.500 0.500 0.500 Cd

Entry 8:
Zn2As | Alexandria | GGA-PBE | optimized geometry; Fermi-level density of states = 0.3722 states/eV/atom; energy above the lowest structure with this stoichiometry = 0.061 eV/atom; total energy = -2.32 eV/atom
1.0
3.908 0.000 0.000
0.000 3.908 0.000
0.000 0.000 3.696
As Zn
1 2
Direct
0.000 0.000 0.000 As
0.000 0.500 0.500 Zn
0.500 0.000 0.500 Zn

Entry 9:
HgOsF3 | Alexandria | GGA-PBE | optimized geometry; Fermi-level density of states = 1.6852 states/eV/atom; energy above the lowest structure with this stoichiometry = 0.796 eV/atom; ΔE_f (raw) = 0.966 eV/f.u.; total energy = -3.24 eV/atom
1.0
-2.649 0.325 3.713
2.008 -3.714 1.757
3.141 2.648 2.008
F Hg Os
3 1 1
Direct
0.000 0.500 0.000 F
0.000 0.000 0.500 F
0.500 0.000 0.000 F
0.000 0.000 0.000 Hg
0.500 0.500 0.500 Os

Entry 10:
V6Ir5W | Alexandria | GGA-PBE | optimized geometry; Fermi-level density of states = 0.9994 states/eV/atom; total energy = -9.65 eV/atom
1.0
4.871 0.340 0.093
0.361 5.365 -0.711
0.633 -0.867 6.692
V Ir W
6 5 1
Direct
0.797 0.771 0.669 V
0.197 0.738 0.345 V
0.803 0.262 0.655 V
0.489 0.752 0.997 V
0.511 0.248 0.003 V
0.203 0.229 0.331 V
0.000 0.500 0.000 Ir
0.303 0.564 0.664 Ir
0.306 0.077 0.675 Ir
0.694 0.923 0.325 Ir
0.697 0.436 0.336 Ir
0.000 0.000 0.000 W

Entry 11:
RbNaI2O | Alexandria | GGA-PBE | optimized geometry; Fermi-level density of states = 1.8395 states/eV/atom; energy above the lowest structure with this stoichiometry = 0.347 eV/atom; ΔE_f (raw) = -1.465 eV/f.u.; total energy = -2.36 eV/atom
1.0
-0.437 5.365 4.259
-6.796 -0.875 0.405
0.649 -3.165 4.053
Na I O Rb
1 2 1 1
Direct
0.500 0.500 0.500 Na
0.500 0.000 0.000 I
0.000 0.500 0.000 I
0.000 0.000 0.500 O
0.000 0.000 0.000 Rb

- Look up the Fermi-level density of states of the sixth one.
  2.3025 states/eV/atom